No. 1
Entry from the Alexandria database: a relaxed structure of MgIn2Ag (PBE).

## Properties
V ... 22.4 Å³ per atom
Total magnetization ... 0.0 Bohr magnetons per cell
Formation enthalpy at 0 K ... -0.18 eV per formula unit
Total energy ... -10.106 eV/cell

Lattice parameters (Å, degrees): 5.430 5.430 5.079 97.32 97.32 37.15
Positions (direct):
Mg 0.000 0.000 0.000
In 0.247 0.247 0.750
In 0.491 0.491 0.483
Ag 0.744 0.744 0.235

=====

No. 2
Entry from the Alexandria database: a relaxed structure of SnGe2Mo2 (PBE).

## Properties
V ... 17.3 Å³ per atom
Total magnetization ... 0.0 Bohr magnetons per cell
Formation enthalpy at 0 K ... 1.35 eV per formula unit
Total energy ... -67.102 eV/cell

Lattice parameters (Å, degrees): 7.453 7.453 3.123 90.00 90.00 90.00
Positions (direct):
Sn 0.000 0.000 0.000
Sn 0.500 0.500 0.000
Ge 0.134 0.366 0.000
Ge 0.366 0.866 0.000
Ge 0.634 0.134 0.000
Ge 0.866 0.634 0.000
Mo 0.156 0.656 0.500
Mo 0.344 0.156 0.500
Mo 0.656 0.844 0.500
Mo 0.844 0.344 0.500

=====

No. 3
Entry from the Alexandria database: a relaxed structure of Ce2AuBr (PBE).

## Properties
Uncorrected formation energy ... -2.8 eV/f.u.
V ... 27.7 Å³ per atom
Total magnetization ... 7.4 Bohr magnetons per cell
Total energy ... -78.540 eV/cell

Lattice parameters (Å, degrees): 20.763 4.238 5.039 90.00 90.00 90.00
Positions (direct):
Ce 0.004 0.250 0.179
Ce 0.151 0.750 0.224
Ce 0.349 0.250 0.724
Ce 0.496 0.750 0.679
Ce 0.504 0.250 0.321
Ce 0.651 0.750 0.276
Ce 0.849 0.250 0.776
Ce 0.996 0.750 0.821
Au 0.095 0.250 0.661
Au 0.405 0.750 0.161
Au 0.595 0.250 0.839
Au 0.905 0.750 0.339
Br 0.236 0.750 0.725
Br 0.264 0.250 0.225
Br 0.736 0.750 0.775
Br 0.764 0.250 0.275

=====

No. 4
Entry from the Alexandria database: a relaxed structure of TiTc2H2 (PBE).

## Properties
V ... 10.3 Å³ per atom
Total magnetization ... 0.0 Bohr magnetons per cell
Total energy ... -70.438 eV/cell

Lattice parameters (Å, degrees): 5.754 5.754 3.123 90.00 90.00 90.00
Positions (direct):
Ti 0.000 0.000 0.000
Ti 0.500 0.500 0.000
Tc 0.154 0.346 0.500
Tc 0.346 0.846 0.500
Tc 0.654 0.154 0.500
Tc 0.846 0.654 0.500
H 0.220 0.720 0.000
H 0.280 0.220 0.000
H 0.720 0.780 0.000
H 0.780 0.280 0.000

=====

No. 5
Entry from the Alexandria database: a relaxed structure of SrCuTc2 (PBE).

## Properties
V ... 22.2 Å³ per atom
Total magnetization ... 0.0 Bohr magnetons per cell
Formation enthalpy at 0 K ... 2.54 eV per formula unit
Total energy ... -23.971 eV/cell

Lattice parameters (Å, degrees): 3.734 4.612 5.347 90.00 104.89 90.00
Positions (direct):
Sr 0.000 0.000 0.000
Cu 0.500 0.000 0.500
Tc 0.297 0.500 0.634
Tc 0.703 0.500 0.366

=====

No. 6
Entry from the Alexandria database: a relaxed structure of PmYGa2Pt2 (PBE).

## Properties
V ... 20.7 Å³ per atom
Total magnetization ... 0.0 Bohr magnetons per cell
Formation enthalpy at 0 K ... -6.32 eV per formula unit
Total energy ... -35.665 eV/cell

Lattice parameters (Å, degrees): 4.480 4.480 7.151 90.00 90.00 120.00
Positions (direct):
Pm 0.000 0.000 0.000
Y 0.000 0.000 0.500
Ga 0.333 0.667 0.264
Ga 0.667 0.333 0.736
Pt 0.333 0.667 0.735
Pt 0.667 0.333 0.265

=====

No. 7
Entry from the Alexandria database: a relaxed structure of HgMo2Pt (PBE).

## Properties
V ... 16.7 Å³ per atom
Total magnetization ... 0.0 Bohr magnetons per cell
Formation enthalpy at 0 K ... 1.08 eV per formula unit
Total energy ... -26.927 eV/cell

Lattice parameters (Å, degrees): 3.901 3.901 4.383 90.00 90.00 90.00
Positions (direct):
Hg 0.000 0.000 0.000
Mo 0.000 0.500 0.500
Mo 0.500 0.000 0.500
Pt 0.500 0.500 0.000

=====

No. 8
Entry from the Alexandria database: a relaxed structure of RbPbI2N (PBE).

## Properties
Uncorrected formation energy ... 3.6 eV/f.u.
V ... 47.1 Å³ per atom
Total magnetization ... 2.0 Bohr magnetons per cell
Total energy ... -12.495 eV/cell

Lattice parameters (Å, degrees): 6.702 6.702 5.239 90.00 90.00 90.00
Positions (direct):
Rb 0.000 0.000 0.000
Pb 0.500 0.500 0.500
I 0.000 0.500 0.000
I 0.500 0.000 0.000
N 0.000 0.000 0.500

=====

> Which of these has the highest total energy?

MgIn2Ag

=====

> Which value of total energy does entry 5 give?

-23.971 eV/cell

=====

> Which of these has the highest total magnetization?

Ce2AuBr